## PrCu6Au12 (PBE)

Data for PrCu6Au12 after structural relaxation.

The electronic total energy comes out at -3.6705 eV/atom. The value obtained for the density is 13.7 g/cm³. The calculation puts the calculated formation energy at -0.06 eV per atom.

The space group is R-3m (No. 166, hexagonal axes) and the conventional cell measures 11.7741, 11.7741 and 8.7367 Å, with angles of 90.00, 90.00 and 120.00 degrees. The distinct sites, in fractional coordinates, are Pr at (0.0000, 0.0000, 0.0000), Cu at (0.0660, 0.5330, 0.2447), Au at (0.0000, 0.3819, 0.5000) and Au at (0.0849, 0.1699, 0.2937).



## KPm2SbO5 (PBE)

Data for KPm2SbO5 after structural relaxation.

The electronic total energy comes out at -6.6953 eV/atom. The value obtained for the density is 6.0 g/cm³. The uncorrected formation energy comes out at -2.305 eV/atom.

The space group is I4/mcm (No. 140) and the conventional cell measures 6.854, 6.854 and 12.584 Å, with angles of 90.00, 90.00 and 90.00 degrees. The distinct sites, in fractional coordinates, are K at (0.000, 0.000, 0.250), Pm at (0.179, 0.321, 0.000), Sb at (0.000, 0.500, 0.250), O at (0.000, 0.000, 0.000) and O at (0.142, 0.358, 0.380).